(1)
ErGa4Pt4: relaxed, PBE.

Unit cell a=5.941 b=5.941 c=8.870 alpha=90.00 beta=90.00 gamma=90.00
Element x y z (fractional)
Er 0.000 0.000 0.000
Er 0.500 0.500 0.500
Ga 0.218 0.500 0.917
Ga 0.782 0.500 0.917
Ga 0.500 0.782 0.083
Ga 0.500 0.218 0.083
Ga 0.000 0.718 0.417
Ga 0.000 0.282 0.417
Ga 0.282 0.000 0.583
Ga 0.718 0.000 0.583
Pt 0.500 0.762 0.790
Pt 0.500 0.238 0.790
Pt 0.762 0.500 0.210
Pt 0.238 0.500 0.210
Pt 0.262 0.000 0.290
Pt 0.738 0.000 0.290
Pt 0.000 0.262 0.710
Pt 0.000 0.738 0.710

Computed properties:
* space group: No. 137

---

(2)
Nd3Er6Th2: relaxed, PBE.

Unit cell a=6.145 b=6.155 c=11.533 alpha=84.81 beta=79.57 gamma=60.05
Element x y z (fractional)
Nd 0.000 0.000 0.000
Nd 0.335 0.329 0.000
Nd 0.665 0.671 0.000
Er 0.419 0.667 0.743
Er 0.753 0.000 0.744
Er 0.086 0.333 0.743
Er 0.247 0.000 0.256
Er 0.581 0.333 0.257
Er 0.914 0.667 0.257
Th 0.165 0.670 0.500
Th 0.835 0.330 0.500

Computed properties:
* space group: No. 12

---

Number 1: total moment 0.0 μB/f.u., formation energy -6.146 eV per formula unit, calculated total energy -94.0 eV for the cell shown. Number 2: total moment 0.0 μB/f.u., formation energy 2.334 eV per formula unit, calculated total energy -54.2 eV for the cell shown.